Run one
LiSnP4O12 | the Alexandria database | GGA-PBE | optimized geometry; symmetry = P4_2/nnm, No. 134; mass density = 3.38 g cm⁻³
1.0
-2.684 -8.365 -3.633
1.288 -4.113 8.519
-9.067 1.913 2.295
O P Li Sn
48 16 4 4
Cartesian
-9.157 -6.301 5.904
-0.774 -5.964 4.800
-6.514 -4.954 0.731
-1.940 -6.236 0.420
-5.976 -7.412 -0.462
-4.947 -1.951 6.343
-2.261 -4.574 2.815
-8.039 0.660 2.780
-3.849 -5.432 4.555
-8.063 -5.531 8.062
-5.243 -0.741 2.647
-7.544 -3.939 5.257
-3.222 -1.463 3.943
-5.230 -9.526 2.728
-3.870 -10.621 5.489
-0.508 -2.141 2.255
-2.971 -0.708 0.775
-6.314 -6.090 4.610
-1.454 -2.946 4.925
-6.958 -1.226 5.032
-4.224 -4.907 -0.952
-5.082 -5.372 6.737
-9.056 -2.628 3.238
-9.381 -9.757 6.162
-6.873 -7.630 7.277
-8.620 -6.257 -1.050
-4.503 -5.578 2.092
-3.413 -8.070 -2.134
-2.020 -10.098 2.918
-4.723 -3.141 1.335
-3.169 -3.431 7.310
-2.758 -7.139 2.988
-9.456 -3.545 0.905
-0.094 -3.963 7.555
-2.490 -6.449 7.185
-8.823 -8.217 3.495
-6.539 -9.546 4.867
-7.528 -8.189 1.348
-7.929 -2.110 7.668
-1.398 -8.234 5.748
-10.470 -6.780 1.522
-4.608 -7.662 5.559
-5.467 -3.543 9.148
-2.010 -3.819 -0.353
-3.692 -8.741 0.910
-8.363 -5.477 3.302
-7.341 -2.143 0.853
-6.260 -4.029 3.106
-2.025 0.427 0.512
-4.168 -0.210 3.565
-3.303 -3.769 -1.320
-1.929 -1.513 4.911
-4.944 -6.201 5.493
1.001 -3.194 6.617
-1.064 -5.072 0.026
-5.519 -4.364 1.688
-0.333 -7.406 4.861
-3.207 -5.709 3.078
-7.256 -4.855 4.103
-5.850 -0.686 5.903
-3.611 -1.989 7.249
0.288 -0.918 1.902
-8.449 -2.683 -0.018
-7.043 1.486 1.782
-7.848 -7.923 5.386
-3.958 -6.824 -0.021
-7.150 -1.685 2.943
-1.972 -4.697 6.055
-6.547 -5.317 -1.577
-1.369 -8.330 1.535
-5.205 -1.135 0.239
-0.027 -4.148 3.351

Run two
LiSnP4O12 | the Alexandria database | GGA-PBE | optimized geometry; symmetry = C2/m, No. 12; mass density = 2.30 g cm⁻³
1.0
11.188 -0.041 0.511
3.883 10.492 0.511
1.226 0.850 5.501
O P Li Sn
24 8 2 2
Cartesian
12.649 6.727 2.358
5.791 6.021 1.856
7.807 10.342 4.271
8.628 7.988 4.667
8.489 0.960 2.253
10.505 5.281 4.667
5.139 7.106 5.575
2.857 3.931 1.825
9.584 2.272 0.511
4.683 1.298 1.825
5.562 1.813 4.166
13.439 7.371 4.698
12.422 3.687 4.271
10.734 9.489 2.358
13.221 9.169 2.897
3.648 4.574 4.166
11.158 4.195 0.948
3.075 2.133 3.626
7.840 8.979 0.948
3.875 7.614 2.253
7.669 3.314 1.856
11.614 10.003 4.698
8.457 2.322 5.575
5.487 8.180 0.511
11.877 10.011 3.211
11.495 4.437 5.379
4.801 6.865 1.145
8.112 2.091 1.145
4.420 1.291 3.312
2.758 3.687 3.312
8.185 9.211 5.379
13.539 7.615 3.211
9.906 6.870 3.988
6.391 4.432 2.535
5.594 -0.020 0.256
1.942 5.246 0.256

Run three
LiSnP4O12 | the Alexandria database | GGA-PBE | optimized geometry; symmetry = P-1, No. 2; mass density = 2.73 g cm⁻³
1.0
7.545 -0.005 -0.007
-2.652 7.722 -0.191
3.190 3.030 9.139
O P Li Sn
24 8 2 2
Cartesian
0.356 2.810 0.520
7.381 4.618 5.901
6.021 5.156 3.846
4.886 6.207 7.526
2.791 7.440 3.571
5.257 8.526 8.535
0.668 7.731 5.063
3.006 7.933 7.680
0.698 6.134 3.042
6.007 7.363 2.691
7.723 7.940 8.422
-0.919 5.285 1.363
4.417 3.819 8.275
5.072 2.818 1.262
8.999 5.466 7.580
3.149 2.513 2.928
2.822 2.224 0.407
3.193 4.543 1.417
2.058 5.597 5.097
2.072 3.389 6.250
7.411 3.022 3.879
3.662 6.931 0.668
4.929 8.237 6.014
5.289 3.311 5.371
1.385 4.730 6.261
6.496 3.861 4.725
4.497 7.764 7.342
3.460 5.561 0.177
4.619 5.189 8.765
6.694 6.021 2.681
1.584 6.891 4.217
3.582 2.987 1.600
4.096 7.748 2.298
3.983 3.003 6.644
6.217 3.858 -0.102
9.138 1.512 4.563

Run four
LiSnP4O12 | the Alexandria database | GGA-PBE | optimized geometry; symmetry = C222_1, No. 20; mass density = 2.74 g cm⁻³
1.0
-5.936 -3.881 3.288
5.927 -4.462 2.464
1.504 10.037 14.564
O P Sn Li
48 16 4 4
Cartesian
-1.709 6.596 16.774
-2.586 1.413 8.903
3.775 0.915 7.920
-0.230 -5.405 5.266
3.887 -0.341 10.160
1.653 -1.486 4.059
0.741 0.610 5.302
-0.465 -1.669 5.316
-2.272 -2.785 6.640
1.780 2.164 13.260
-3.510 4.851 15.440
-0.465 1.135 13.290
3.764 2.838 14.806
3.205 -3.295 2.432
0.682 -3.968 7.684
-2.360 4.527 12.837
5.005 -2.672 4.540
1.181 -4.484 3.355
-0.287 -1.582 7.821
3.282 -4.549 4.675
0.758 5.301 12.107
1.720 3.193 17.741
-2.278 2.967 10.887
3.857 -0.353 5.768
5.309 -1.122 7.828
-0.384 1.517 10.198
3.783 -3.310 6.786
1.880 1.045 9.517
-0.034 -2.912 9.918
0.807 1.445 15.538
1.961 4.475 14.233
4.082 2.215 10.078
4.664 4.178 17.067
-2.142 -0.287 6.752
0.313 5.308 17.559
-0.376 -0.357 3.195
1.957 -1.980 8.775
-1.790 4.055 17.148
-2.394 0.427 11.263
0.316 2.112 7.813
-2.291 2.523 15.239
3.638 3.622 12.432
-3.172 -4.420 4.581
-3.815 2.330 12.822
-0.156 5.718 14.506
1.183 3.487 9.810
1.875 6.924 13.761
1.523 -0.268 13.756
0.495 -0.628 4.525
0.749 2.147 9.261
0.824 1.148 14.086
4.392 -3.694 5.492
-1.286 5.480 17.691
0.667 -2.717 8.479
-3.177 3.523 12.118
2.864 3.271 13.677
-0.006 -5.472 3.772
2.780 -4.549 3.149
-2.900 3.597 16.057
1.003 5.585 13.540
-1.369 -1.577 6.637
3.490 0.953 9.500
-1.995 1.503 10.289
4.674 -0.039 6.963
-2.315 -5.032 6.570
-1.956 1.952 6.812
3.455 4.363 10.318
3.804 2.104 16.931
0.526 5.288 10.255
0.975 2.336 5.972
0.652 -5.704 6.999
0.836 1.467 17.403

run three ends up most stable, edging out the next structure by 44 meV/atom.